Density functional theory data (PBE) for an optimized crystal structure of PrSm7Ho2.

Density of states at the Fermi level: 28.076 states/eV per cell
Polymorph energy (0 for the lowest one): 6.41 eV/f.u.
Crystal system: orthorhombic

Cell lengths 8.8926, 16.0775, 5.7303 Å; angles 90.00, 90.00, 90.00 degrees
Closest atoms and distances in Å follow each position.
Space group Cmmm (No. 65)
One atom of each set of equivalent atoms:
Pr 0.0000 0.0000 0.0000 (multiplicity 2)  10 Sm 3.64-3.77
Sm 0.0000 0.2265 0.0000 (multiplicity 4)  2 Ho 3.08
Sm 0.0000 0.5000 0.5000 (multiplicity 2)  2 Ho 3.28, 4 Sm 3.42
Sm 0.1785 0.1165 0.5000 (multiplicity 8)  2 Sm 3.17-3.42, 2 Ho 3.18-3.30
Ho 0.0000 0.2962 0.5000 (multiplicity 4)  7 Sm 3.08-3.30

***

Density functional theory data (PBE) for an optimized crystal structure of Pr2Sm4Ho5.

Density of states at the Fermi level: 40.633 states/eV per cell
Polymorph energy (0 for the lowest one): 0.00 eV/f.u.
Crystal system: monoclinic

Cell lengths 24.0839, 3.4759, 8.8067 Å; angles 90.00, 96.55, 90.00 degrees
Closest atoms and distances in Å follow each position.
Space group C2/m (No. 12)
One atom of each set of equivalent atoms:
Pr 0.0908 0.0000 0.2419 (multiplicity 4)  2 Sm 3.31-3.43, 2 Ho 3.41-3.43, 2 Pr 3.48
Sm 0.0459 0.0000 0.8583 (multiplicity 4)  3 Ho 3.31-3.66, 2 Pr 3.31-3.43, 5 Sm 3.48-3.68
Sm 0.1791 0.5000 0.9715 (multiplicity 4)  6 Sm 3.48-3.82, 5 Ho 3.57-3.70, 2 Pr 3.79
Ho 0.0000 0.5000 0.5000 (multiplicity 2)  6 Ho 3.48-3.87, 4 Sm 3.66, 4 Pr 3.76
Ho 0.1421 0.0000 0.6189 (multiplicity 4)  3 Sm 3.31-3.58, 1 Pr 3.41, 5 Ho 3.46-3.55
Ho 0.2331 0.0000 0.3287 (multiplicity 4)  1 Pr 3.43, 7 Ho 3.46-3.55, 3 Sm 3.57-3.70

***

Density functional theory data (PBE) for an optimized crystal structure of PrSm12Ho2.

Density of states at the Fermi level: 89.713 states/eV per cell
Crystal system: orthorhombic

Cell lengths 7.1438, 11.5091, 24.9165 Å; angles 90.00, 90.00, 90.00 degrees
Closest atoms and distances in Å follow each position.
Space group Cmme (No. 67)
One atom of each set of equivalent atoms:
Pr 0.0000 0.2500 0.0014 (multiplicity 4)  8 Sm 3.46-3.78, 2 Pr 3.57
Sm 0.0000 0.0026 0.9224 (multiplicity 8)  2 Pr 3.46-3.47, 9 Sm 3.55-3.87
Sm 0.0000 0.0228 0.4401 (multiplicity 8)  5 Sm 3.03-3.36
Sm 0.2322 0.2500 0.5852 (multiplicity 8)  7 Sm 3.30-3.63
Sm 0.2483 0.2500 0.1319 (multiplicity 8)  8 Sm 3.35-3.66, 1 Pr 3.71
Sm 0.2500 0.0000 0.2009 (multiplicity 8)  3 Sm 3.12-3.35
Sm 0.2500 0.0000 0.3262 (multiplicity 8)  3 Sm 3.12-3.36
Ho 0.0000 0.2500 0.2716 (multiplicity 4)  2 Ho 3.57, 10 Sm 3.65-3.91
Ho 0.0000 0.2500 0.7325 (multiplicity 4)  2 Ho 3.57, 10 Sm 3.69-3.83

***

Density functional theory data (PBE) for an optimized crystal structure of Pr3Sm4Ho8.

Density of states at the Fermi level: 61.693 states/eV per cell
Crystal system: monoclinic

Cell lengths 13.4780, 12.8869, 6.7854 Å; angles 90.00, 120.21, 90.00 degrees
Closest atoms and distances in Å follow each position.
Space group C2/m (No. 12)
One atom of each set of equivalent atoms:
Pr 0.0000 0.0000 0.0000 (multiplicity 2)  6 Ho 3.15-3.25
Pr 0.2500 0.2500 0.0000 (multiplicity 4)  4 Ho 3.23-3.37, 2 Sm 3.39
Sm 0.0000 0.5000 0.0000 (multiplicity 2)  6 Ho 3.29-3.50, 2 Sm 3.39
Sm 0.0000 0.5000 0.5000 (multiplicity 2)  2 Sm 3.39, 4 Ho 3.55-3.59
Sm 0.2500 0.2500 0.5000 (multiplicity 4)  4 Ho 3.23-3.37, 2 Pr 3.39
Ho 0.0000 0.1397 0.5000 (multiplicity 4)  7 Ho 3.60-3.66, 2 Sm 3.66, 4 Pr 3.66-3.84
Ho 0.0000 0.2446 0.0000 (multiplicity 4)  3 Pr 3.15-3.37, 3 Sm 3.29-3.37
Ho 0.2329 0.0000 0.9693 (multiplicity 4)  3 Pr 3.23-3.25, 2 Ho 3.24-3.54, 2 Sm 3.50-3.59
Ho 0.2346 0.0000 0.4931 (multiplicity 4)  4 Sm 3.23-3.55, 2 Ho 3.24-3.54, 1 Pr 3.25

***

no.,formation energy (meV/atom)
1,657
2,147
3,159
4,369